First-principles (PBE) data for a geometry-optimized Li2CeUN4 structure, as listed in Alexandria via LeMat-Bulk.

For the formation energy from raw total energies, the calculation gives -1.0988 eV per atom. The total energy is -63.1 eV for the cell shown. The space group is P2/m, No. 10. The magnetization is 0.00 μB per cell.

Cell and atoms, written as extended XYZ:
```
8
Lattice="3.535 0.000 0.000 0.000 5.366 0.164 0.000 2.138 5.711" Properties=species:S:1:pos:R:3 pbc="T T T"
N 1.767 4.424 1.706
Li 1.767 1.069 2.855
N 3.535 2.154 1.551
U 0.000 3.752 2.937
N 1.767 3.080 4.168
N 0.000 5.350 4.324
Li 0.000 2.138 5.711
Ce 1.767 2.683 0.082
```


First-principles (PBE) data for a geometry-optimized SiPdAu3 structure, as listed in Alexandria via LeMat-Bulk.

For the formation energy from raw total energies, the calculation gives 1.0109 eV per atom. As for the distance to the lowest polymorph of the same formula: 1.120 eV/atom. The total energy is -15.4 eV for the cell shown. The space group is Pm-3m, No. 221. The magnetization is 0.00 μB per cell.

Cell and atoms, written as extended XYZ:
```
5
Lattice="5.005 0.000 0.000 0.000 5.005 0.000 0.000 0.000 5.005" Properties=species:S:1:pos:R:3 pbc="T T T"
Au 0.000 0.000 2.502
Pd 0.000 0.000 0.000
Si 2.502 2.502 2.502
Au 2.502 0.000 0.000
Au 0.000 2.502 0.000
```


First-principles (PBE) data for a geometry-optimized DyLuCo structure, as listed in Alexandria via LeMat-Bulk.

As for the distance to the lowest polymorph of the same formula: 0.000 eV/atom. The total energy is -16.7 eV for the cell shown. The space group is I4mm, No. 107. The calculation puts the formation energy at -0.5 eV/f.u. The magnetization is 0.67 μB per cell.

Cell and atoms, written as extended XYZ:
```
3
Lattice="3.325 0.000 0.000 0.000 3.325 0.000 -1.663 -1.663 6.211" Properties=species:S:1:pos:R:3 pbc="T T T"
Lu 0.000 0.000 3.656
Co 1.663 1.663 2.103
Dy 0.000 0.000 0.452
```


First-principles (PBE) data for a geometry-optimized CsPm2Br8 structure, as listed in Alexandria via LeMat-Bulk.

For the formation energy from raw total energies, the calculation gives -1.6893 eV per atom. As for the distance to the lowest polymorph of the same formula: 0.000 eV/atom. The total energy is -42.3 eV for the cell shown. The space group is C2/m, No. 12. The magnetization is 0.19 μB per cell.

Cell and atoms, written as extended XYZ:
```
11
Lattice="5.699 0.327 0.490 -0.478 8.639 -0.312 -0.478 -3.615 7.853" Properties=species:S:1:pos:R:3 pbc="T T T"
Br 0.953 2.597 3.898
Cs 2.849 0.163 0.245
Pm -0.478 4.908 2.174
Br -0.175 -0.714 2.559
Br 2.372 5.576 2.084
Br 4.919 2.714 7.705
Br 4.919 6.065 5.472
Br 3.790 2.754 4.133
Br 2.372 -0.225 5.948
Br -0.175 2.637 0.327
Pm -0.478 0.116 5.367
```


First-principles (PBE) data for a geometry-optimized YCrOs2 structure, as listed in Alexandria via LeMat-Bulk.

As for the distance to the lowest polymorph of the same formula: 0.208 eV/atom. The total energy is -37.1 eV for the cell shown. The space group is Imm2, No. 44. The calculation puts the formation energy at 1.4 eV/f.u. The magnetization is 3.02 μB per cell.

Cell and atoms, written as extended XYZ:
```
4
Lattice="5.575 0.100 -0.012 2.702 4.877 0.012 -3.554 -3.460 2.546" Properties=species:S:1:pos:R:3 pbc="T T T"
Y 4.112 2.473 0.000
Os 0.029 0.018 0.000
Cr 3.274 -0.319 1.267
Os 1.446 1.834 1.279
```


First-principles (PBE) data for a geometry-optimized PuVRe structure, as listed in Alexandria via LeMat-Bulk.

As for the distance to the lowest polymorph of the same formula: 0.000 eV/atom. The total energy is -35.5 eV for the cell shown. The space group is I4mm, No. 107. The calculation puts the formation energy at 0.4 eV/f.u. The magnetization is 4.56 μB per cell.

Cell and atoms, written as extended XYZ:
```
3
Lattice="3.079 0.000 0.000 0.000 3.079 0.000 -1.539 -1.539 5.511" Properties=species:S:1:pos:R:3 pbc="T T T"
Re 0.000 0.000 3.434
V 1.539 1.539 2.087
Pu 1.539 1.539 5.502
```


First-principles (PBE) data for a geometry-optimized Ho3GePd structure, as listed in Alexandria via LeMat-Bulk.

The total energy is -53.6 eV for the cell shown. The space group is P-1, No. 2. The calculation puts the formation energy at -3.3 eV/f.u. The magnetization is 0.00 μB per cell.

Cell and atoms, written as extended XYZ:
```
10
Lattice="-0.497 1.995 -3.688 -6.778 -1.038 2.776 0.163 7.329 3.950" Properties=species:S:1:pos:R:3 pbc="T T T"
Ho -1.143 2.872 1.793
Ho -3.930 0.128 0.684
Ge -6.112 1.972 1.976
Ho -4.343 3.846 0.335
Pd -3.211 4.519 2.967
Ge -2.160 2.002 -0.957
Ho -5.970 4.619 3.391
Ho -7.130 1.102 -0.774
Ho -2.140 6.684 1.579
Pd -4.899 6.784 2.002
```


First-principles (PBE) data for a geometry-optimized TbPmNdY structure, as listed in Alexandria via LeMat-Bulk.

As for the distance to the lowest polymorph of the same formula: 0.101 eV/atom. The total energy is -20.1 eV for the cell shown. The space group is F-43m, No. 216. The calculation puts the formation energy at 0.5 eV/f.u. The magnetization is 0.00 μB per cell.

Cell and atoms, written as extended XYZ:
```
4
Lattice="5.755 0.000 0.000 2.878 4.984 0.000 2.878 1.661 4.699" Properties=species:S:1:pos:R:3 pbc="T T T"
Y 0.000 0.000 0.000
Tb 5.755 3.323 2.350
Nd 8.633 4.984 3.524
Pm 2.878 1.661 1.175
```